## RbGaC (PBE)

Data for an optimized crystal structure of RbGaC.

The calculation puts the total magnetic moment at 0.000 μB per cell. The density of states at the Fermi level comes out at 0.000 states/eV/atom. The value obtained for the electronic total energy is -24.0 eV per cell.

The space group is P1 (No. 1) and the conventional cell measures 3.518, 7.197 and 7.403 Å, with angles of 116.13, 90.03 and 104.09 degrees. The asymmetric unit holds Rb at (0.000, 0.000, 0.000), Rb at (0.150, 0.303, 0.607), Ga at (0.382, 0.762, 0.507), Ga at (0.758, 0.516, 0.122), C at (0.365, 0.728, 0.185) and C at (0.465, 0.932, 0.311).

## KNb3Br (PBE)

Data for an optimized crystal structure of KNb3Br.

As for the raw formation energy: 2.83 eV/atom. The energy above the most stable polymorph in this dataset comes out at 1365 meV per atom. The calculation puts the total magnetic moment at 0.000 μB per cell. The density of states at the Fermi level comes out at 1.609 states/eV/atom.

The space group is Pm-3m (No. 221) and the conventional cell measures 4.807, 4.807 and 4.807 Å, with angles of 90.00, 90.00 and 90.00 degrees. The asymmetric unit holds K at (0.000, 0.000, 0.000), Nb at (0.000, 0.000, 0.500) and Br at (0.500, 0.500, 0.500).

## Pm6IrOs2Cl3 (PBE)

Data for an optimized crystal structure of Pm6IrOs2Cl3.

As for the raw formation energy: -0.90 eV/atom. The calculation puts the total magnetic moment at 0.000 μB per cell. The density of states at the Fermi level comes out at 0.444 states/eV/atom.

The space group is C2/m (No. 12) and the conventional cell measures 7.057, 12.233 and 7.889 Å, with angles of 90.00, 107.36 and 90.00 degrees. The asymmetric unit holds Pm at (0.230, 0.000, 0.205), Pm at (0.237, 0.331, 0.205), Ir at (0.000, 0.500, 0.000), Os at (0.000, 0.167, 0.000), Cl at (0.000, 0.000, 0.500) and Cl at (0.000, 0.330, 0.500).

## K2RbBr2 (PBE)

Data for an optimized crystal structure of K2RbBr2.

As for the raw formation energy: -1.15 eV/atom. The energy above the most stable polymorph in this dataset comes out at 130 meV per atom. The calculation puts the total magnetic moment at 0.000 μB per cell. The density of states at the Fermi level comes out at 0.210 states/eV/atom.

The space group is P4/mbm (No. 127) and the conventional cell measures 10.052, 10.052 and 4.201 Å, with angles of 90.00, 90.00 and 90.00 degrees. The asymmetric unit holds K at (0.132, 0.368, 0.000), Rb at (0.000, 0.000, 0.000) and Br at (0.150, 0.650, 0.500).

## Na2MoCl2 (PBE)

Data for an optimized crystal structure of Na2MoCl2.

As for the raw formation energy: -0.11 eV/atom. The energy above the most stable polymorph in this dataset comes out at 36 meV per atom. The calculation puts the total magnetic moment at 12.000 μB per cell. The density of states at the Fermi level comes out at 0.000 states/eV/atom.

The space group is I4/mmm (No. 139) and the conventional cell measures 5.372, 5.372 and 12.356 Å, with angles of 90.00, 90.00 and 90.00 degrees. The asymmetric unit holds Na at (0.000, 0.000, 0.211), Mo at (0.000, 0.000, 0.500) and Cl at (0.000, 0.500, 0.250).

## CaSiTc2Sn (PBE)

Data for an optimized crystal structure of CaSiTc2Sn.

As for the raw formation energy: 1.33 eV/atom. The calculation puts the total magnetic moment at 3.646 μB per cell. The density of states at the Fermi level comes out at 0.975 states/eV/atom.

The space group is P4/mmm (No. 123) and the conventional cell measures 5.021, 5.021 and 5.102 Å, with angles of 90.00, 90.00 and 90.00 degrees. The asymmetric unit holds Ca at (0.000, 0.000, 0.000), Si at (0.500, 0.500, 0.000), Tc at (0.000, 0.500, 0.500) and Sn at (0.500, 0.500, 0.500).

## CsTl3I3 (PBE)

Data for an optimized crystal structure of CsTl3I3.

As for the raw formation energy: -0.48 eV/atom. The calculation puts the total magnetic moment at 0.000 μB per cell. The density of states at the Fermi level comes out at 1.065 states/eV/atom.

The space group is Pm-3n (No. 223) and the conventional cell measures 9.679, 9.679 and 9.679 Å, with angles of 90.00, 90.00 and 90.00 degrees. The asymmetric unit holds Cs at (0.000, 0.000, 0.000), Tl at (0.000, 0.250, 0.500) and I at (0.000, 0.500, 0.250).